[1]
# ScCd2Ag6, optimized geometry, DFT PBE-GGA
data_ScCd2Ag6
_cell_length_a 14.4294
_cell_length_b 8.3326
_cell_length_c 2.9043
_cell_angle_alpha 90.00
_cell_angle_beta 90.36
_cell_angle_gamma 90.00
_symmetry_space_group_name_H-M 'C 1 2/m 1'
_symmetry_Int_Tables_number 12
loop_
_symmetry_equiv_pos_as_xyz
'x,y,z'
'-x,-y,-z'
'-x,y,-z'
'x,-y,z'
'x+1/2,y+1/2,z'
'-x+1/2,-y+1/2,-z'
'-x+1/2,y+1/2,-z'
'x+1/2,-y+1/2,z'
loop_
_atom_site_label
_atom_site_fract_x
_atom_site_fract_y
_atom_site_fract_z
_atom_site_occupancy
Sc1 0.0000 0.0000 0.0000 1
Cd1 0.1666 0.5000 0.9997 1
Ag1 0.0000 0.3311 0.5000 1
Ag2 0.1656 0.1655 0.5096 1
# ΔE_f   -0.020 eV per atom
# Excess energy over the best structure of this formula in the dataset   7.0 kJ per mole of atoms

[2]
# ScCdAg, optimized geometry, DFT PBE-GGA
data_ScCdAg
_cell_length_a 2.9967
_cell_length_b 5.0766
_cell_length_c 8.3627
_cell_angle_alpha 90.00
_cell_angle_beta 90.00
_cell_angle_gamma 90.00
_symmetry_space_group_name_H-M 'I m m 2'
_symmetry_Int_Tables_number 44
loop_
_symmetry_equiv_pos_as_xyz
'x,y,z'
'-x,-y,z'
'-x,y,z'
'x,-y,z'
'x+1/2,y+1/2,z+1/2'
'-x+1/2,-y+1/2,z+1/2'
'-x+1/2,y+1/2,z+1/2'
'x+1/2,-y+1/2,z+1/2'
loop_
_atom_site_label
_atom_site_fract_x
_atom_site_fract_y
_atom_site_fract_z
_atom_site_occupancy
Sc1 0.0000 0.0000 0.0000 1
Cd1 0.0000 0.5000 0.1811 1
Ag1 0.0000 0.5000 0.8187 1
# ΔE_f   0.014 eV per atom

[3]
# Sc5Cd4Ag, optimized geometry, DFT PBE-GGA
data_Sc5Cd4Ag
_cell_length_a 3.5160
_cell_length_b 3.5160
_cell_length_c 17.5987
_cell_angle_alpha 90.00
_cell_angle_beta 90.00
_cell_angle_gamma 90.00
_symmetry_space_group_name_H-M 'P 4/m m m'
_symmetry_Int_Tables_number 123
_symmetry_space_group_name_Hall '-P 4 2'
loop_
_atom_site_label
_atom_site_fract_x
_atom_site_fract_y
_atom_site_fract_z
_atom_site_occupancy
Sc1 0.0000 0.0000 0.0000 1
Sc2 0.0000 0.0000 0.2029 1
Sc3 0.0000 0.0000 0.4057 1
Cd1 0.5000 0.5000 0.1016 1
Cd2 0.5000 0.5000 0.3031 1
Ag1 0.5000 0.5000 0.5000 1
# ΔE_f   -0.287 eV per atom

[4]
# Sc2Cd8Ag, optimized geometry, DFT PBE-GGA
data_Sc2Cd8Ag
_cell_length_a 4.4622
_cell_length_b 4.4622
_cell_length_c 12.3426
_cell_angle_alpha 90.00
_cell_angle_beta 90.00
_cell_angle_gamma 90.00
_symmetry_space_group_name_H-M 'P 4/m m m'
_symmetry_Int_Tables_number 123
_symmetry_space_group_name_Hall '-P 4 2'
loop_
_atom_site_label
_atom_site_fract_x
_atom_site_fract_y
_atom_site_fract_z
_atom_site_occupancy
Sc1 0.0000 0.0000 0.1835 1
Cd1 0.0000 0.5000 0.0000 1
Cd2 0.0000 0.5000 0.3585 1
Cd3 0.5000 0.5000 0.1809 1
Ag1 0.0000 0.0000 0.5000 1
# ΔE_f   -0.145 eV per atom

[5]
# ScCd5Ag6, optimized geometry, DFT PBE-GGA
data_ScCd5Ag6
_cell_length_a 4.7164
_cell_length_b 14.0224
_cell_length_c 7.0564
_cell_angle_alpha 90.00
_cell_angle_beta 90.05
_cell_angle_gamma 90.00
_symmetry_space_group_name_H-M 'C 1 2/m 1'
_symmetry_Int_Tables_number 12
loop_
_symmetry_equiv_pos_as_xyz
'x,y,z'
'-x,-y,-z'
'-x,y,-z'
'x,-y,z'
'x+1/2,y+1/2,z'
'-x+1/2,-y+1/2,-z'
'-x+1/2,y+1/2,-z'
'x+1/2,-y+1/2,z'
loop_
_atom_site_label
_atom_site_fract_x
_atom_site_fract_y
_atom_site_fract_z
_atom_site_occupancy
Sc1 0.0000 0.0000 0.0000 1
Cd1 0.0000 0.0000 0.5000 1
Cd2 0.0000 0.3348 0.0000 1
Cd3 0.0000 0.3348 0.5000 1
Ag1 0.0004 0.1663 0.2500 1
Ag2 0.0006 0.5000 0.2488 1
# ΔE_f   -0.096 eV per atom
# Excess energy over the best structure of this formula in the dataset   0.0 kJ per mole of atoms

[6]
# ScCd4Ag, optimized geometry, DFT PBE-GGA
data_ScCd4Ag
_cell_length_a 8.4594
_cell_length_b 4.8870
_cell_length_c 6.1676
_cell_angle_alpha 90.00
_cell_angle_beta 90.23
_cell_angle_gamma 90.00
_symmetry_space_group_name_H-M 'C 1 2/m 1'
_symmetry_Int_Tables_number 12
loop_
_symmetry_equiv_pos_as_xyz
'x,y,z'
'-x,-y,-z'
'-x,y,-z'
'x,-y,z'
'x+1/2,y+1/2,z'
'-x+1/2,-y+1/2,-z'
'-x+1/2,y+1/2,-z'
'x+1/2,-y+1/2,z'
loop_
_atom_site_label
_atom_site_fract_x
_atom_site_fract_y
_atom_site_fract_z
_atom_site_occupancy
Sc1 0.0000 0.0000 0.0000 1
Cd1 0.1660 0.5000 0.7461 1
Cd2 0.1674 0.5000 0.2459 1
Ag1 0.0000 0.0000 0.5000 1
# ΔE_f   -0.120 eV per atom
# Excess energy over the best structure of this formula in the dataset   0.0 kJ per mole of atoms

Number 1: Fermi-level density of states 0.458 states/eV/atom, volume 19.4 A^3/atom, total DFT energy (no corrections) -50.9 eV per cell. Number 2: Fermi-level density of states 1.095 states/eV/atom, volume 21.2 A^3/atom, total DFT energy (no corrections) -20.1 eV per cell. Number 3: Fermi-level density of states 0.896 states/eV/atom, volume 21.8 A^3/atom, total DFT energy (no corrections) -41.0 eV per cell. Number 4: Fermi-level density of states 0.839 states/eV/atom, volume 22.3 A^3/atom, total DFT energy (no corrections) -24.4 eV per cell. Number 5: Fermi-level density of states 0.317 states/eV/atom, volume 19.4 A^3/atom, total DFT energy (no corrections) -58.3 eV per cell. Number 6: Fermi-level density of states 0.514 states/eV/atom, volume 21.2 A^3/atom, total DFT energy (no corrections) -27.1 eV per cell.